# 1
DFT (GGA-PBE) results for a geometry-optimized Ba2HgH2 structure.

Properties
Offset from the most stable computed form, eV per atom: 0.337
Density of states at the Fermi level, states/eV/cell: 8.3
Magnetization, μB per formula unit: 0.0
Calculated volume, Å³/atom: 27.2

Unit cell a=8.6498 b=8.6498 c=3.6361 alpha=90.00 beta=90.00 gamma=90.00
Fractional positions:
Ba: 0.1445 0.3555 0.0000
Ba: 0.3555 0.8555 0.0000
Ba: 0.6445 0.1445 0.0000
Ba: 0.8555 0.6445 0.0000
Hg: 0.0000 0.0000 0.0000
Hg: 0.5000 0.5000 0.0000
H: 0.0990 0.5990 0.5000
H: 0.4010 0.0990 0.5000
H: 0.5990 0.9010 0.5000
H: 0.9010 0.4010 0.5000

# 2
DFT (GGA-PBE) results for a geometry-optimized Ba6Hg2H structure.

Properties
Offset from the most stable computed form, eV per atom: 0.000
Density of states at the Fermi level, states/eV/cell: 22.1
Magnetization, μB per formula unit: 0.5
Calculated volume, Å³/atom: 43.4

Unit cell a=7.8690 b=8.6183 c=13.8933 alpha=90.00 beta=123.99 gamma=90.00
Fractional positions:
Ba: 0.1197 0.0240 0.2447
Ba: 0.1197 0.4760 0.7447
Ba: 0.2317 0.6881 0.0610
Ba: 0.2317 0.8119 0.5610
Ba: 0.3778 0.1794 0.0597
Ba: 0.3778 0.3206 0.5597
Ba: 0.6222 0.6794 0.4403
Ba: 0.6222 0.8206 0.9403
Ba: 0.7683 0.1881 0.4390
Ba: 0.7683 0.3119 0.9390
Ba: 0.8803 0.5240 0.2553
Ba: 0.8803 0.9760 0.7553
Hg: 0.2971 0.1078 0.7497
Hg: 0.2971 0.3922 0.2497
Hg: 0.7029 0.6078 0.7503
Hg: 0.7029 0.8922 0.2503
H: 0.0000 0.0000 0.0000
H: 0.0000 0.5000 0.5000

# 3
DFT (GGA-PBE) results for a geometry-optimized Ba2HgHI structure.

Properties
Density of states at the Fermi level, states/eV/cell: 3.5
Magnetization, μB per formula unit: 0.0
Calculated volume, Å³/atom: 30.9
Electronic total energy, eV per atom: -2.387

Unit cell a=6.0119 b=6.0119 c=4.2770 alpha=90.00 beta=90.00 gamma=90.00
Fractional positions:
Ba: 0.0000 0.5000 0.0000
Ba: 0.5000 0.0000 0.0000
Hg: 0.0000 0.0000 0.5000
H: 0.0000 0.0000 0.0000
I: 0.5000 0.5000 0.5000

# 4
DFT (GGA-PBE) results for a geometry-optimized Ba2LaHgH structure.

Properties
Density of states at the Fermi level, states/eV/cell: 5.0
Magnetization, μB per formula unit: 1.2
Calculated volume, Å³/atom: 32.7
Electronic total energy, eV per atom: -2.651

Unit cell a=5.7844 b=5.7844 c=4.8881 alpha=90.00 beta=90.00 gamma=90.00
Fractional positions:
Ba: 0.0000 0.5000 0.0000
Ba: 0.5000 0.0000 0.0000
La: 0.0000 0.0000 0.5000
Hg: 0.5000 0.5000 0.5000
H: 0.0000 0.0000 0.0000

# 5
DFT (GGA-PBE) results for a geometry-optimized BaLi2HgH structure.

Properties
Density of states at the Fermi level, states/eV/cell: 2.0
Magnetization, μB per formula unit: 0.0
Calculated volume, Å³/atom: 23.6
Electronic total energy, eV per atom: -2.082

Unit cell a=4.6635 b=4.6635 c=5.4288 alpha=90.00 beta=90.00 gamma=90.00
Fractional positions:
Ba: 0.0000 0.0000 0.0000
Li: 0.0000 0.5000 0.5000
Li: 0.5000 0.0000 0.5000
Hg: 0.5000 0.5000 0.0000
H: 0.0000 0.0000 0.5000

# 6
DFT (GGA-PBE) results for a geometry-optimized Ba2MgHgH6 structure.

Properties
Magnetization, μB per formula unit: 0.0
Calculated volume, Å³/atom: 16.8
Electronic total energy, eV per atom: -2.824

Unit cell a=5.5362 b=5.5362 c=6.7225 alpha=114.27 beta=114.27 gamma=89.99
Fractional positions:
Ba: 0.2500 0.7500 0.0000
Ba: 0.7500 0.2500 0.0000
Mg: 0.4499 0.4499 0.4006
Hg: 0.0273 0.0273 0.5557
H: 0.1632 0.6565 0.3200
H: 0.1635 0.1635 0.3205
H: 0.2738 0.2738 0.0472
H: 0.6438 0.6438 0.7880
H: 0.6565 0.1632 0.3200
H: 0.6564 0.6564 0.3201

# 7
DFT (GGA-PBE) results for a geometry-optimized Ba2MgHgH structure.

Properties
Offset from the most stable computed form, eV per atom: 0.094
Density of states at the Fermi level, states/eV/cell: 2.3
Magnetization, μB per formula unit: 0.0
Calculated volume, Å³/atom: 30.8

Unit cell a=5.6325 b=5.6325 c=4.8473 alpha=90.00 beta=90.00 gamma=90.00
Fractional positions:
Ba: 0.0000 0.5000 0.0000
Ba: 0.5000 0.0000 0.0000
Mg: 0.0000 0.0000 0.5000
Hg: 0.5000 0.5000 0.5000
H: 0.5000 0.5000 0.0000

# 8
DFT (GGA-PBE) results for a geometry-optimized Ba2MgHgH structure.

Properties
Offset from the most stable computed form, eV per atom: 0.000
Density of states at the Fermi level, states/eV/cell: 2.9
Magnetization, μB per formula unit: 0.0
Calculated volume, Å³/atom: 29.8

Unit cell a=5.7265 b=5.7265 c=4.5392 alpha=90.00 beta=90.00 gamma=90.00
Fractional positions:
Ba: 0.0000 0.5000 0.0000
Ba: 0.5000 0.0000 0.0000
Mg: 0.0000 0.0000 0.5000
Hg: 0.5000 0.5000 0.5000
H: 0.0000 0.0000 0.0000